Here is a relaxed structure of SiMoIr2 from Alexandria via LeMat-Bulk. Energies are from PBE.

The value obtained for the total energy is -8.7744 eV/atom. Its uncorrected formation energy is -1.1 eV per formula unit.

The structure belongs to space group R-3m (No. 166, hexagonal axes); the cell edges are 2.8099, 2.8099 and 25.1435 Å and the angles 90.00°, 90.00° and 120.00°. Symmetry generates all atoms from Si at (0.0000, 0.0000, 0.0000), Mo at (0.0000, 0.0000, 0.5000) and Ir at (0.0000, 0.0000, 0.2568).

=====

Here is a relaxed structure of SiTc2MoIr from Alexandria via LeMat-Bulk. Energies are from PBE.

The value obtained for the total energy is -8.3543 eV/atom. Its uncorrected formation energy is 4.1 eV per formula unit.

The structure belongs to space group P4/mmm (No. 123); the cell edges are 4.369, 4.369 and 4.306 Å and the angles 90.00°, 90.00° and 90.00°. Symmetry generates all atoms from Si at (0.000, 0.000, 0.000), Tc at (0.000, 0.500, 0.000), Mo at (0.500, 0.500, 0.500) and Ir at (0.000, 0.000, 0.500).

=====

Here is a relaxed structure of Th2Si3MoIr4 from Alexandria via LeMat-Bulk. Energies are from PBE.

The value obtained for the total energy is -8.6777 eV/atom. Its uncorrected formation energy is -9.4 eV per formula unit.

The structure belongs to space group P-4m2 (No. 115); the cell edges are 4.184, 4.184 and 10.275 Å and the angles 90.00°, 90.00° and 90.00°. Symmetry generates all atoms from Th at (0.000, 0.500, 0.247), Si at (0.000, 0.500, 0.872), Si at (0.500, 0.500, 0.500), Mo at (0.000, 0.000, 0.500), Ir at (0.000, 0.000, 0.000), Ir at (0.000, 0.500, 0.635) and Ir at (0.500, 0.500, 0.000).

=====

Here is a relaxed structure of TiSiMoIr from Alexandria via LeMat-Bulk. Energies are from PBE.

The value obtained for the total energy is -8.8201 eV/atom. Its uncorrected formation energy is -2.3 eV per formula unit.

The structure belongs to space group F-43m (No. 216); the cell edges are 6.113, 6.113 and 6.113 Å and the angles 90.00°, 90.00° and 90.00°. Symmetry generates all atoms from Ti at (0.000, 0.000, 0.000), Si at (0.000, 0.000, 0.500), Mo at (0.250, 0.250, 0.750) and Ir at (0.250, 0.250, 0.250).